Material: BaNaHg2
Method: DFT, meta-GGA SCAN
State: PBEsol geometry

a b c (Å): 5.526 5.526 5.526
angles (deg): 60.00 60.00 60.00
Positions (direct):
Ba 0.000 0.000 0.000
Na 0.500 0.500 0.500
Hg 0.250 0.250 0.250
Hg 0.750 0.750 0.750

## Properties
M_tot	0.000	μB per atom
E_form	-493	meV per atom
symmetry	Fm-3m, No. 225
calculated volume	29.8	Å³ per atom